(1)
Density functional theory data (GGA-PBE) for a relaxed TmLu3C2Se2 crystal.

abc: 3.6755 3.6755 12.9432
angles: 90.00 90.00 120.00
Element x y z (fractional)
Tm  0.0000  0.0000  0.0000
Lu  0.0000  0.0000  0.3019
Lu  0.3333  0.6667  0.4998
Lu  0.3333  0.6667  0.8016
C  0.6667  0.3333  0.4009
C  0.6667  0.3333  0.9006
Se  0.0000  0.0000  0.6509
Se  0.3333  0.6667  0.1511

volume = 18.9 Å³/atom
magnetization = 0.0 μB per formula unit
energy = -0.487 Ry per atom


(2)
Density functional theory data (GGA-PBE) for a relaxed Tm3LuC2Se2 crystal.

abc: 3.6916 3.6916 13.0108
angles: 90.00 90.00 120.00
Element x y z (fractional)
Tm  0.0000  0.0000  0.0000
Tm  0.0000  0.0000  0.3014
Tm  0.3333  0.6667  0.5003
Lu  0.3333  0.6667  0.8017
C  0.6667  0.3333  0.4009
C  0.6667  0.3333  0.9006
Se  0.0000  0.0000  0.6511
Se  0.3333  0.6667  0.1509

volume = 19.2 Å³/atom
magnetization = 0.0 μB per formula unit
energy = -0.486 Ry per atom


(3)
Density functional theory data (GGA-PBE) for a relaxed Lu3ZrC2Se2 crystal.

abc: 3.6058 3.6058 12.8616
angles: 90.00 90.00 120.00
Element x y z (fractional)
Lu  0.0000  0.0000  0.0000
Lu  0.0000  0.0000  0.3029
Lu  0.3333  0.6667  0.5017
Zr  0.3333  0.6667  0.8051
C  0.6667  0.3333  0.4043
C  0.6667  0.3333  0.8958
Se  0.0000  0.0000  0.6590
Se  0.3333  0.6667  0.1504

volume = 18.1 Å³/atom
magnetization = 0.0 μB per formula unit
energy = -0.523 Ry per atom


(4)
Density functional theory data (GGA-PBE) for a relaxed Lu3SiC2 crystal.

abc: 3.4549 3.4549 20.4072
angles: 90.00 90.00 120.00
Element x y z (fractional)
Lu  0.0000  0.0000  0.0000
Lu  0.0000  0.0000  0.5000
Lu  0.3333  0.6667  0.1361
Lu  0.3333  0.6667  0.3639
Lu  0.6667  0.3333  0.6361
Lu  0.6667  0.3333  0.8639
Si  0.0000  0.0000  0.2500
Si  0.0000  0.0000  0.7500
C  0.3333  0.6667  0.5735
C  0.3333  0.6667  0.9265
C  0.6667  0.3333  0.0735
C  0.6667  0.3333  0.4265

volume = 17.6 Å³/atom
magnetization = 0.1 μB per formula unit
energy = -0.482 Ry per atom


(5)
Density functional theory data (GGA-PBE) for a relaxed Lu4SiC3 crystal.

abc: 3.4655 3.4655 26.0262
angles: 90.00 90.00 120.00
Element x y z (fractional)
Lu  0.0000  0.0000  0.1607
Lu  0.0000  0.0000  0.3393
Lu  0.0000  0.0000  0.6607
Lu  0.0000  0.0000  0.8393
Lu  0.3333  0.6667  0.0558
Lu  0.3333  0.6667  0.4442
Lu  0.6667  0.3333  0.5558
Lu  0.6667  0.3333  0.9442
Si  0.3333  0.6667  0.2500
Si  0.6667  0.3333  0.7500
C  0.0000  0.0000  0.0000
C  0.0000  0.0000  0.5000
C  0.3333  0.6667  0.6129
C  0.3333  0.6667  0.8871
C  0.6667  0.3333  0.1129
C  0.6667  0.3333  0.3871

volume = 16.9 Å³/atom
magnetization = 0.0 μB per formula unit
energy = -0.490 Ry per atom


(6)
Density functional theory data (GGA-PBE) for a relaxed Lu2Ta4Si3C3 crystal.

abc: 5.5483 5.5483 13.8243
angles: 102.31 102.31 59.89
Element x y z (fractional)
Lu  0.0410  0.8791  0.6133
Lu  0.1209  0.9590  0.8867
Lu  0.8791  0.0410  0.1133
Lu  0.9590  0.1209  0.3867
Ta  0.1969  0.3551  0.0858
Ta  0.2938  0.4793  0.4141
Ta  0.3551  0.1969  0.5858
Ta  0.4793  0.2938  0.9141
Ta  0.5207  0.7062  0.0859
Ta  0.6449  0.8031  0.4142
Ta  0.7062  0.5207  0.5859
Ta  0.8031  0.6449  0.9142
Si  0.0869  0.3825  0.7517
Si  0.3825  0.0869  0.2517
Si  0.4458  0.5542  0.2500
Si  0.5542  0.4458  0.7500
Si  0.6175  0.9131  0.7483
Si  0.9131  0.6175  0.2483
C  0.0000  0.5000  0.5000
C  0.1695  0.6609  0.0000
C  0.3391  0.8305  0.5000
C  0.5000  0.0000  0.0000
C  0.6609  0.1695  0.5000
C  0.8305  0.3391  0.0000

volume = 14.9 Å³/atom
magnetization = 0.0 μB per formula unit
energy = -0.658 Ry per atom


(7)
Density functional theory data (GGA-PBE) for a relaxed Lu4TlSiC2 crystal.

abc: 3.5076 3.5076 15.1580
angles: 90.00 90.00 120.00
Element x y z (fractional)
Lu  0.0000  0.0000  0.1479
Lu  0.0000  0.0000  0.8521
Lu  0.6667  0.3333  0.3203
Lu  0.6667  0.3333  0.6797
Tl  0.0000  0.0000  0.5000
Si  0.6667  0.3333  0.0000
C  0.3333  0.6667  0.2370
C  0.3333  0.6667  0.7630

volume = 20.2 Å³/atom
magnetization = 0.3 μB per formula unit
energy = -0.440 Ry per atom


(8)
Density functional theory data (GGA-PBE) for a relaxed Y2Lu4Si3C3 crystal.

abc: 6.1297 6.1297 14.8171
angles: 101.90 101.90 59.67
Element x y z (fractional)
Y  0.0216  0.8775  0.5987
Y  0.1225  0.9784  0.9013
Y  0.8775  0.0216  0.0987
Y  0.9784  0.1225  0.4013
Lu  0.1939  0.3637  0.0890
Lu  0.2986  0.4755  0.4119
Lu  0.3637  0.1939  0.5890
Lu  0.4755  0.2986  0.9119
Lu  0.5245  0.7014  0.0881
Lu  0.6363  0.8061  0.4110
Lu  0.7014  0.5245  0.5881
Lu  0.8061  0.6363  0.9110
Si  0.0913  0.3120  0.7500
Si  0.3059  0.6941  0.2500
Si  0.3120  0.0913  0.2500
Si  0.6880  0.9087  0.7500
Si  0.6941  0.3059  0.7500
Si  0.9087  0.6880  0.2500
C  0.0000  0.5000  0.5000
C  0.1661  0.6666  0.9964
C  0.3334  0.8339  0.5036
C  0.5000  0.0000  0.0000
C  0.6666  0.1661  0.4964
C  0.8339  0.3334  0.0036

volume = 19.4 Å³/atom
magnetization = 0.0 μB per formula unit
energy = -0.494 Ry per atom


(9)
Density functional theory data (GGA-PBE) for a relaxed Y4Lu2Si3C3 crystal.

abc: 6.2569 6.2569 15.0662
angles: 101.99 101.99 59.77
Element x y z (fractional)
Y  0.0359  0.1966  0.0927
Y  0.1382  0.3045  0.4067
Y  0.1966  0.0359  0.5927
Y  0.3045  0.1382  0.9067
Y  0.6955  0.8618  0.0933
Y  0.8034  0.9641  0.4073
Y  0.8618  0.6955  0.5933
Y  0.9641  0.8034  0.9073
Lu  0.3628  0.5283  0.0868
Lu  0.4717  0.6372  0.4132
Lu  0.5283  0.3628  0.5868
Lu  0.6372  0.4717  0.9132
Si  0.0332  0.9668  0.7500
Si  0.2682  0.5012  0.7502
Si  0.4988  0.7318  0.7498
Si  0.5012  0.2682  0.2502
Si  0.7318  0.4988  0.2498
Si  0.9668  0.0332  0.2500
C  0.0000  0.5000  0.0000
C  0.1714  0.6629  0.4956
C  0.3371  0.8286  0.0044
C  0.5000  0.0000  0.5000
C  0.6629  0.1714  0.9956
C  0.8286  0.3371  0.5044

volume = 20.6 Å³/atom
magnetization = 0.0 μB per formula unit
energy = -0.517 Ry per atom


(10)
Density functional theory data (GGA-PBE) for a relaxed Lu4Zr2Si3C3 crystal.

abc: 5.9420 5.9420 14.5451
angles: 102.14 102.14 59.91
Element x y z (fractional)
Lu  0.0386  0.1954  0.0993
Lu  0.1274  0.3000  0.4007
Lu  0.1954  0.0386  0.5993
Lu  0.3000  0.1274  0.9007
Lu  0.7000  0.8726  0.0993
Lu  0.8046  0.9614  0.4007
Lu  0.8726  0.7000  0.5993
Lu  0.9614  0.8046  0.9007
Zr  0.3550  0.5272  0.0807
Zr  0.4728  0.6450  0.4193
Zr  0.5272  0.3550  0.5807
Zr  0.6450  0.4728  0.9193
Si  0.1642  0.8358  0.2500
Si  0.3319  0.4182  0.7507
Si  0.4182  0.3319  0.2507
Si  0.5818  0.6681  0.7493
Si  0.6681  0.5818  0.2493
Si  0.8358  0.1642  0.7500
C  0.0000  0.5000  0.0000
C  0.1740  0.6629  0.5000
C  0.3371  0.8260  0.0000
C  0.5000  0.0000  0.5000
C  0.6629  0.1740  0.0000
C  0.8260  0.3371  0.5000

volume = 18.0 Å³/atom
magnetization = 0.0 μB per formula unit
energy = -0.530 Ry per atom


(11)
Density functional theory data (GGA-PBE) for a relaxed Lu2SnC4 crystal.

abc: 6.6222 6.6222 6.6222
angles: 105.17 98.34 126.39
Element x y z (fractional)
Lu  0.1531  0.1287  0.2819
Lu  0.3469  0.6287  0.9756
Lu  0.6531  0.3713  0.0244
Lu  0.8469  0.8713  0.7181
Sn  0.2500  0.7500  0.5000
Sn  0.7500  0.2500  0.5000
C  0.0736  0.6870  0.7607
C  0.1277  0.8491  0.9768
C  0.3723  0.3491  0.7214
C  0.4264  0.1870  0.6134
C  0.5736  0.8130  0.3866
C  0.6277  0.6509  0.2786
C  0.8723  0.1509  0.0232
C  0.9264  0.3130  0.2393

volume = 14.9 Å³/atom
magnetization = 0.0 μB per formula unit
energy = -0.504 Ry per atom


(12)
Density functional theory data (GGA-PBE) for a relaxed Lu4Ta2Sn3C3 crystal.

abc: 5.9181 5.9181 15.0445
angles: 101.60 101.60 60.30
Element x y z (fractional)
Lu  0.0404  0.1877  0.0897
Lu  0.1265  0.3030  0.4103
Lu  0.1877  0.0404  0.5897
Lu  0.3030  0.1265  0.9103
Lu  0.6970  0.8735  0.0897
Lu  0.8123  0.9596  0.4103
Lu  0.8735  0.6970  0.5897
Lu  0.9596  0.8123  0.9103
Ta  0.3505  0.5249  0.0740
Ta  0.4751  0.6495  0.4260
Ta  0.5249  0.3505  0.5740
Ta  0.6495  0.4751  0.9260
Sn  0.1211  0.8789  0.2500
Sn  0.2817  0.4185  0.7525
Sn  0.4185  0.2817  0.2525
Sn  0.5815  0.7183  0.7475
Sn  0.7183  0.5815  0.2475
Sn  0.8789  0.1211  0.7500
C  0.0000  0.5000  0.0000
C  0.1929  0.6538  0.5000
C  0.3462  0.8071  0.0000
C  0.5000  0.0000  0.5000
C  0.6538  0.1929  0.0000
C  0.8071  0.3462  0.5000

volume = 18.5 Å³/atom
magnetization = 0.0 μB per formula unit
energy = -0.543 Ry per atom


(13)
Density functional theory data (GGA-PBE) for a relaxed Lu4SnTeC2 crystal.

abc: 3.6272 3.6272 14.5977
angles: 90.00 90.00 120.00
Element x y z (fractional)
Lu  0.0000  0.0000  0.1547
Lu  0.0000  0.0000  0.8453
Lu  0.6667  0.3333  0.3291
Lu  0.6667  0.3333  0.6709
Sn  0.0000  0.0000  0.5000
Te  0.6667  0.3333  0.0000
C  0.3333  0.6667  0.2405
C  0.3333  0.6667  0.7595

volume = 20.8 Å³/atom
magnetization = 0.0 μB per formula unit
energy = -0.455 Ry per atom


(14)
Density functional theory data (GGA-PBE) for a relaxed Lu4Sn3W2C3 crystal.

abc: 5.8558 5.8558 14.7855
angles: 101.11 101.11 60.48
Element x y z (fractional)
Lu  0.0393  0.1863  0.0906
Lu  0.1267  0.3038  0.4093
Lu  0.1863  0.0393  0.5906
Lu  0.3038  0.1267  0.9093
Lu  0.6962  0.8733  0.0907
Lu  0.8137  0.9607  0.4094
Lu  0.8733  0.6962  0.5907
Lu  0.9607  0.8137  0.9094
Sn  0.1289  0.8711  0.2500
Sn  0.2839  0.4171  0.7514
Sn  0.4171  0.2839  0.2514
Sn  0.5829  0.7161  0.7486
Sn  0.7161  0.5829  0.2486
Sn  0.8711  0.1289  0.7500
W  0.3427  0.5227  0.0721
W  0.4773  0.6573  0.4279
W  0.5227  0.3427  0.5721
W  0.6573  0.4773  0.9279
C  0.0000  0.5000  0.0000
C  0.1945  0.6531  0.4999
C  0.3469  0.8055  0.0001
C  0.5000  0.0000  0.5000
C  0.6531  0.1945  0.9999
C  0.8055  0.3469  0.5001

volume = 17.9 Å³/atom
magnetization = 0.0 μB per formula unit
energy = -0.545 Ry per atom


(15)
Density functional theory data (GGA-PBE) for a relaxed Y2Lu4Sn3C3 crystal.

abc: 6.1856 6.1856 15.9036
angles: 101.23 101.23 60.00
Element x y z (fractional)
Y  0.0301  0.8649  0.5902
Y  0.1351  0.9699  0.9098
Y  0.8649  0.0301  0.0902
Y  0.9699  0.1351  0.4098
Lu  0.1939  0.3589  0.0814
Lu  0.3048  0.4742  0.4186
Lu  0.3589  0.1939  0.5814
Lu  0.4742  0.3048  0.9186
Lu  0.5258  0.6952  0.0814
Lu  0.6411  0.8061  0.4186
Lu  0.6952  0.5258  0.5814
Lu  0.8061  0.6411  0.9186
Sn  0.0825  0.2863  0.7502
Sn  0.2863  0.0825  0.2502
Sn  0.4519  0.5481  0.7500
Sn  0.5481  0.4519  0.2500
Sn  0.7137  0.9175  0.7498
Sn  0.9175  0.7137  0.2498
C  0.0000  0.5000  0.5000
C  0.1680  0.6640  0.0000
C  0.3360  0.8320  0.5000
C  0.5000  0.0000  0.0000
C  0.6640  0.1680  0.5000
C  0.8320  0.3360  0.0000

volume = 21.4 Å³/atom
magnetization = 0.0 μB per formula unit
energy = -0.477 Ry per atom


(16)
Density functional theory data (GGA-PBE) for a relaxed LuZr3Sn2C2 crystal.

abc: 3.4120 3.4120 14.9008
angles: 90.00 90.00 120.00
Element x y z (fractional)
Lu  0.0000  0.0000  0.0000
Zr  0.0000  0.0000  0.6643
Zr  0.6667  0.3333  0.1716
Zr  0.6667  0.3333  0.4983
Sn  0.0000  0.0000  0.3346
Sn  0.6667  0.3333  0.8280
C  0.3333  0.6667  0.0900
C  0.3333  0.6667  0.5814

volume = 18.8 Å³/atom
magnetization = 0.0 μB per formula unit
energy = -0.575 Ry per atom


(17)
Density functional theory data (GGA-PBE) for a relaxed LuZrSnC crystal.

abc: 3.4398 3.4398 15.0814
angles: 90.00 90.00 120.00
Element x y z (fractional)
Lu  0.0000  0.0000  0.1698
Lu  0.0000  0.0000  0.8302
Zr  0.6667  0.3333  0.3388
Zr  0.6667  0.3333  0.6612
Sn  0.0000  0.0000  0.5000
Sn  0.6667  0.3333  0.0000
C  0.3333  0.6667  0.2594
C  0.3333  0.6667  0.7406

ΔE to the lowest computed polymorph = 0.007 eV per atom
volume = 19.3 Å³/atom
magnetization = 0.0 μB per formula unit
energy = -0.535 Ry per atom


(18)
Density functional theory data (GGA-PBE) for a relaxed Lu3ZrSn2C2 crystal.

abc: 3.4857 3.4857 15.2541
angles: 90.00 90.00 120.00
Element x y z (fractional)
Lu  0.0000  0.0000  0.0000
Lu  0.0000  0.0000  0.3341
Lu  0.6667  0.3333  0.8301
Zr  0.6667  0.3333  0.5004
Sn  0.0000  0.0000  0.6595
Sn  0.6667  0.3333  0.1676
C  0.3333  0.6667  0.4224
C  0.3333  0.6667  0.9146

volume = 20.1 Å³/atom
magnetization = 0.0 μB per formula unit
energy = -0.495 Ry per atom